Density functional theory data (PBE) for an optimized crystal structure of Na2Si2Pd3.

Values from the calculation:
**Uncorrected formation energy**: -0.41 eV per atom
**Density**: 5.41 g/cm³
**Total DFT energy (no corrections)**: -4.56 eV/atom
**Space-group type**: C2/m

a = 5.731 Å, b = 5.731 Å, c = 7.392 Å
α = 117.07°, β = 117.07°, γ = 37.44°
Atoms (fractional coordinates):
Na1 0.138 0.138 0.277
Na2 0.862 0.862 0.723
Si1 0.138 0.138 0.735
Si2 0.862 0.862 0.265
Pd1 0.364 0.364 0.058
Pd2 0.500 0.500 0.500
Pd3 0.636 0.636 0.942

***

Density functional theory data (PBE) for an optimized crystal structure of DyLuHf.

Values from the calculation:
**Polymorph energy (0 for the lowest one)**: 91 meV per atom
**Density**: 10.54 g/cm³
**Total DFT energy (no corrections)**: -6.16 eV/atom
**Space-group type**: P-6m2
**E_form**: 0.20 eV per atom

a = 5.283 Å, b = 5.283 Å, c = 3.363 Å
α = 90.00°, β = 90.00°, γ = 120.00°
Atoms (fractional coordinates):
Dy1 0.000 0.000 0.000
Lu1 0.333 0.667 0.500
Hf1 0.667 0.333 0.500

***

Density functional theory data (PBE) for an optimized crystal structure of La6Pr2Sm.

Values from the calculation:
**Density**: 6.43 g/cm³
**Total DFT energy (no corrections)**: -4.86 eV/atom
**Space-group type**: C2/m
**E_form**: 0.02 eV per atom

a = 6.433 Å, b = 6.433 Å, c = 11.134 Å
α = 106.58°, β = 106.58°, γ = 48.33°
Atoms (fractional coordinates):
La1 0.001 0.001 0.167
La2 0.333 0.333 0.610
La3 0.336 0.336 0.946
La4 0.664 0.664 0.054
La5 0.667 0.667 0.390
La6 0.999 0.999 0.833
Pr1 0.334 0.334 0.279
Pr2 0.666 0.666 0.721
Sm1 0.000 0.000 0.500